# LaDyCoNi | Alexandria | PBE-GGA | optimized geometry
# Volume = 20.30 Å³/atom
# ΔE_f = -0.16 eV per atom
data_LaDyCoNi
_chemical_formula_sum 'La4 Dy4 Co4 Ni4'
_space_group_name_H-M_alt 'P 1'
_space_group_IT_number 1
_cell_length_a 6.873
_cell_length_b 6.873
_cell_length_c 6.873
_cell_angle_alpha 90.00
_cell_angle_beta 90.00
_cell_angle_gamma 90.00
loop_
_space_group_symop_operation_xyz
'x,y,z'
loop_
_atom_site_label
_atom_site_fract_x
_atom_site_fract_y
_atom_site_fract_z
La1 0.000 0.000 0.000
La2 0.000 0.500 0.500
La3 0.500 0.000 0.500
La4 0.500 0.500 0.000
Dy1 0.000 0.000 0.500
Dy2 0.000 0.500 0.000
Dy3 0.500 0.000 0.000
Dy4 0.500 0.500 0.500
Co1 0.250 0.250 0.250
Co2 0.250 0.750 0.750
Co3 0.750 0.250 0.750
Co4 0.750 0.750 0.250
Ni1 0.250 0.250 0.750
Ni2 0.250 0.750 0.250
Ni3 0.750 0.250 0.250
Ni4 0.750 0.750 0.750